1.
Al2CdTe2 | PBE-GGA | optimized geometry

Lattice parameters (Å, degrees): 5.032 5.032 12.738 90.00 90.00 90.00
Space group I4/mmm (No. 139)
Symmetry-distinct sites (fractional):
Al: 0.000 0.500 0.250 (multiplicity 4)
Cd: 0.000 0.000 0.000 (multiplicity 2)
Te: 0.000 0.000 0.347 (multiplicity 4)

Results
- DFT total energy: -2.885 eV/atom
- Total moment: 0.00 μB/cell

2.
SrCrCl2 | PBE-GGA | optimized geometry

Lattice parameters (Å, degrees): 4.576 4.061 5.874 90.00 109.19 90.00
Space group P2/m (No. 10)
Symmetry-distinct sites (fractional):
Sr: 0.000 0.000 0.000 (multiplicity 1)
Cr: 0.500 0.500 0.500 (multiplicity 1)
Cl: 0.000 0.000 0.500 (multiplicity 1)
Cl: 0.500 0.500 0.000 (multiplicity 1)

Results
- DFT total energy: -4.572 eV/atom
- Total moment: 5.21 μB/cell

3.
MgAuBr | PBE-GGA | optimized geometry

Lattice parameters (Å, degrees): 3.308 3.308 13.063 90.00 90.00 90.00
Space group I4mm (No. 107)
Symmetry-distinct sites (fractional):
Mg: 0.000 0.000 0.000 (multiplicity 2)
Au: 0.000 0.000 0.625 (multiplicity 2)
Br: 0.000 0.000 0.375 (multiplicity 2)

Results
- DFT total energy: -2.717 eV/atom
- Total moment: 0.00 μB/cell

4.
TaPtNO2 | PBE-GGA | optimized geometry

Lattice parameters (Å, degrees): 3.937 3.937 3.980 90.00 90.00 90.00
Space group P4/mmm (No. 123)
Symmetry-distinct sites (fractional):
Ta: 0.000 0.000 0.000 (multiplicity 1)
Pt: 0.500 0.500 0.500 (multiplicity 1)
N: 0.500 0.500 0.000 (multiplicity 1)
O: 0.000 0.500 0.500 (multiplicity 2)

Results
- DFT total energy: -6.556 eV/atom
- Total moment: 1.08 μB/cell

5.
BaCaSe3 | PBE-GGA | optimized geometry

Lattice parameters (Å, degrees): 5.866 5.866 5.866 90.00 90.00 90.00
Space group Pm-3m (No. 221)
Symmetry-distinct sites (fractional):
Ba: 0.000 0.000 0.000 (multiplicity 1)
Ca: 0.500 0.500 0.500 (multiplicity 1)
Se: 0.000 0.000 0.500 (multiplicity 3)

Results
- DFT total energy: -3.325 eV/atom
- Total moment: 0.00 μB/cell

6.
Y2ZnRu2 | PBE-GGA | optimized geometry

Lattice parameters (Å, degrees): 6.911 6.911 4.218 90.00 90.00 90.00
Space group P4/mbm (No. 127)
Symmetry-distinct sites (fractional):
Y: 0.176 0.324 0.000 (multiplicity 4)
Zn: 0.000 0.000 0.500 (multiplicity 2)
Ru: 0.133 0.633 0.500 (multiplicity 4)

Results
- E_form: -0.2882 eV per atom
- DFT total energy: -6.839 eV/atom
- Total moment: 0.00 μB/cell

7.
LaDyPuN3 | PBE-GGA | optimized geometry

Lattice parameters (Å, degrees): 7.355 3.614 8.614 90.00 98.76 90.00
Space group P2_1/m (No. 11)
Symmetry-distinct sites (fractional):
La: 0.172 0.250 0.147 (multiplicity 2)
Dy: 0.369 0.750 0.850 (multiplicity 2)
Pu: 0.067 0.250 0.590 (multiplicity 2)
N: 0.114 0.250 0.849 (multiplicity 2)
N: 0.227 0.750 0.587 (multiplicity 2)
N: 0.396 0.750 0.122 (multiplicity 2)

Results
- DFT total energy: -9.142 eV/atom
- Total moment: 4.63 μB/cell

8.
ScU3In3Se8 | PBE-GGA | optimized geometry

Lattice parameters (Å, degrees): 8.1133 8.1133 23.5572 90.00 90.00 120.00
Space group R-3m (No. 166, hexagonal axes)
Symmetry-distinct sites (fractional):
Sc: 0.0000 0.0000 0.0000 (multiplicity 3)
U: 0.0000 0.5000 0.0000 (multiplicity 9)
In: 0.0000 0.5000 0.5000 (multiplicity 9)
Se: 0.0000 0.0000 0.2622 (multiplicity 6)
Se: 0.0117 0.5058 0.7343 (multiplicity 18)

Results
- DFT total energy: -6.064 eV/atom
- Total moment: 24.00 μB/cell